Entry 1:
# Ba2ZrZn2O6

A relaxed structure of Ba2ZrZn2O6 (PBE, Alexandria).

Properties
energy: -6.40 eV/atom
V: 536.40 Å³ per cell
total magnetic moment: 0.000 μB/cell
formation energy (no corrections): -2.342 eV per atom

Cell: 6.0788 6.0788 16.7615 Å, 90.00 90.00 120.00°
Space group R-3m (No. 166, hexagonal axes)
Unique sites:
Ba1 0.0000 0.0000 0.2158 [6 per cell]
Zr1 0.0000 0.0000 0.0000 [3 per cell]
Zn1 0.0000 0.0000 0.4182 [6 per cell]
O1 0.0234 0.5117 0.7479 [18 per cell]

Entry 2:
# Ba3ZrZn2O8

A relaxed structure of Ba3ZrZn2O8 (PBE, Alexandria).

Properties
energy: -6.20 eV/atom
V: 234.56 Å³ per cell
total magnetic moment: 2.059 μB/cell
formation energy (no corrections): -2.165 eV per atom

Cell: 5.9485 5.9485 7.6543 Å, 90.00 90.00 120.00°
Space group P-3m1 (No. 164)
Unique sites:
Ba1 0.0000 0.0000 0.0000 [1 per cell]
Ba2 0.3333 0.6667 0.6456 [2 per cell]
Zr1 0.0000 0.0000 0.5000 [1 per cell]
Zn1 0.3333 0.6667 0.2177 [2 per cell]
O1 0.1632 0.3263 0.3340 [6 per cell]
O2 0.3333 0.6667 0.9755 [2 per cell]

Entry 3:
# BaZr2O4

A relaxed structure of BaZr2O4 (PBE, Alexandria).

Properties
energy: -8.39 eV/atom
V: 408.41 Å³ per cell
total magnetic moment: 0.000 μB/cell
formation energy (no corrections): -2.844 eV per atom

Cell: 3.4591 10.7325 11.0009 Å, 90.00 90.00 90.00°
Space group Cmcm (No. 63)
Unique sites:
Ba1 0.0000 0.1168 0.2500 [4 per cell]
Zr1 0.0000 0.3762 0.0619 [8 per cell]
O1 0.0000 0.0000 0.0000 [4 per cell]
O2 0.0000 0.2552 0.5970 [8 per cell]
O3 0.0000 0.4213 0.2500 [4 per cell]

Entry 4:
# BaZr2O

A relaxed structure of BaZr2O (PBE, Alexandria).

Properties
energy: -6.89 eV/atom
V: 926.34 Å³ per cell
total magnetic moment: 0.000 μB/cell
formation energy (no corrections): -0.898 eV per atom

Cell: 9.7482 9.7482 9.7482 Å, 90.00 90.00 90.00°
Space group Fd-3m (No. 227, origin choice 2)
Unique sites:
Ba1 0.1250 0.1250 0.1250 [8 per cell]
Zr1 0.0000 0.0000 0.5000 [16 per cell]
O1 0.1250 0.1250 0.6250 [8 per cell]